Entry w
Here is a relaxed La2I2Cl crystal from Alexandria via LeMat-Bulk. Energies are from PBE.

Calculated values
* symmetry: C2/m (12)
* volume: 34.52 Å³ per atom
* crystal system: monoclinic

Unit cell a=7.2612 b=7.2612 c=9.0168 alpha=106.52 beta=106.52 gamma=49.88
Closest atoms and distances in Å follow each position.
Element x y z (fractional)
La1 0.0066 0.0066 0.2946  2 Cl 2.90-2.97, 2 I 3.14
La2 0.3391 0.3391 0.4291  3 Cl 2.96-3.08, 3 I 3.24-3.28
La3 0.6609 0.6609 0.5709  3 Cl 2.96-3.08, 3 I 3.24-3.28
La4 0.9934 0.9934 0.7054  2 Cl 2.90-2.97, 2 I 3.14
I1 0.1662 0.1662 0.0794  3 La 3.26-3.43
I2 0.4998 0.4998 0.2152  4 La 3.14-3.28
I3 0.5002 0.5002 0.7848  4 La 3.14-3.28
I4 0.8338 0.8338 0.9206  3 La 3.26-3.43
Cl1 0.1795 0.1795 0.5991  5 La 2.90-3.08
Cl2 0.8205 0.8205 0.4009  5 La 2.90-3.08

Entry x
Here is a relaxed La2I2Cl crystal from Alexandria via LeMat-Bulk. Energies are from PBE.

Calculated values
* symmetry: P4/mbm (127)
* volume: 33.24 Å³ per atom
* crystal system: tetragonal

Unit cell a=7.8824 b=7.8824 c=5.3493 alpha=90.00 beta=90.00 gamma=90.00
Closest atoms and distances in Å follow each position.
Element x y z (fractional)
La1 0.1618 0.3382 0.0000  2 Cl 2.96, 2 I 3.31
La2 0.3382 0.8382 0.0000  2 Cl 2.96, 2 I 3.31
La3 0.6618 0.1618 0.0000  2 Cl 2.96, 2 I 3.31
La4 0.8382 0.6618 0.0000  2 Cl 2.96, 2 I 3.31
I1 0.1636 0.6636 0.5000  2 La 3.31, 1 I 3.65
I2 0.3364 0.1636 0.5000  2 La 3.31, 1 I 3.65
I3 0.6636 0.8364 0.5000  2 La 3.31, 1 I 3.65
I4 0.8364 0.3364 0.5000  2 La 3.31, 1 I 3.65
Cl1 0.0000 0.0000 0.0000  4 La 2.96
Cl2 0.5000 0.5000 0.0000  4 La 2.96

Of them, the most stable is entry w and the least stable is entry x.

Entry w
Here is a relaxed LaI2NCl crystal from Alexandria via LeMat-Bulk. Energies are from PBE.

Calculated values
* symmetry: P4/mmm (123)
* volume: 28.56 Å³ per atom
* crystal system: tetragonal

Unit cell a=6.2875 b=6.2875 c=3.6124 alpha=90.00 beta=90.00 gamma=90.00
Closest atoms and distances in Å follow each position.
Element x y z (fractional)
La1 0.0000 0.0000 0.0000  2 La 3.61, 8 I 3.63
I1 0.0000 0.5000 0.5000  2 Cl 3.14
I2 0.5000 0.0000 0.5000  2 Cl 3.14
N1 0.5000 0.5000 0.0000  2 Cl 1.81
Cl1 0.5000 0.5000 0.5000  2 N 1.81

Entry x
Here is a relaxed LaI2NCl crystal from Alexandria via LeMat-Bulk. Energies are from PBE.

Calculated values
* symmetry: P4/mmm (123)
* volume: 36.51 Å³ per atom
* crystal system: tetragonal

Unit cell a=6.6134 b=6.6134 c=4.1743 alpha=90.00 beta=90.00 gamma=90.00
Closest atoms and distances in Å follow each position.
Element x y z (fractional)
La1 0.0000 0.0000 0.0000  2 N 2.09
I1 0.0000 0.5000 0.0000  2 La 3.31
I2 0.5000 0.0000 0.0000  2 La 3.31
N1 0.0000 0.0000 0.5000  2 La 2.09
Cl1 0.5000 0.5000 0.5000  8 I 3.91, 2 Cl 4.17

Of them, the most stable is entry x and the least stable is entry w.

Entry w
Here is a relaxed LaIN2Cl crystal from Alexandria via LeMat-Bulk. Energies are from PBE.

Calculated values
* symmetry: P4/mmm (123)
* volume: 28.01 Å³ per atom
* crystal system: tetragonal

Unit cell a=4.3855 b=4.3855 c=7.2822 alpha=90.00 beta=90.00 gamma=90.00
Closest atoms and distances in Å follow each position.
Element x y z (fractional)
La1 0.0000 0.0000 0.0000  4 N 2.19
I1 0.0000 0.0000 0.5000  4 Cl 3.10
N1 0.0000 0.5000 0.0000  2 La 2.19
N2 0.5000 0.0000 0.0000  2 La 2.19
Cl1 0.5000 0.5000 0.5000  4 I 3.10

Entry x
Here is a relaxed LaIN2Cl crystal from Alexandria via LeMat-Bulk. Energies are from PBE.

Calculated values
* symmetry: P4/mmm (123)
* volume: 19.70 Å³ per atom
* crystal system: tetragonal

Unit cell a=4.4759 b=4.4759 c=4.9175 alpha=90.00 beta=90.00 gamma=90.00
Closest atoms and distances in Å follow each position.
Element x y z (fractional)
La1 0.0000 0.0000 0.0000  4 I 3.16, 8 N 3.32
I1 0.5000 0.5000 0.0000  2 Cl 2.46
N1 0.0000 0.5000 0.5000  2 Cl 2.24
N2 0.5000 0.0000 0.5000  2 Cl 2.24
Cl1 0.5000 0.5000 0.5000  4 N 2.24, 2 I 2.46

Of them, the most stable is entry w and the least stable is entry x.